This record from the Alexandria database describes an optimized crystal structure of Na2Ni2O5. The functional is PBE with a Hubbard U.

a b c (Å): 4.970 6.476 7.047
angles (deg): 110.64 95.53 105.91
Positions (direct):
Na 0.000 0.000 0.000
Na 0.095 0.387 0.407
Na 0.335 0.284 0.808
Na 0.684 0.587 0.612
Ni 0.131 0.887 0.398
Ni 0.536 0.696 0.204
Ni 0.729 0.087 0.598
Ni 0.937 0.494 0.005
O 0.233 0.796 0.132
O 0.237 0.412 0.112
O 0.427 0.174 0.495
O 0.432 0.782 0.471
O 0.666 0.633 0.956
O 0.699 0.176 0.879
O 0.835 0.586 0.274
O 0.835 0.996 0.327
O 0.975 0.402 0.722
O 0.998 0.944 0.644

Computed properties:
The density comes out at 4.1 Mg/m³. Its space-group type is P1, No. 1. The final energy comes out at -80.760 eV per cell.